{
  "formula": "NbCoH",
  "functional": "PBE",
  "state": "optimized geometry",
  "dos_ef_per_ev_atom": 0.7634,
  "magmom_total_mub_per_cell": 1.22,
  "energy_ev_per_atom": -6.960,
  "lattice_angstrom": [[-0.717, 1.137, 3.356], [1.007, -3.721, 1.476], [3.918, 1.227, 0.421]],
  "species": ["Co", "Co", "H", "H", "Nb", "Nb"],
  "fractional_positions": [[0.872, 0.843, 0.984], [0.872, 0.343, 0.484], [0.372, 0.343, 0.484], [0.372, 0.843, 0.984], [0.372, 0.343, 0.985], [0.372, 0.843, 0.484]]
}